1.
# TbCeEr3

A geometry-optimized TbCeEr3 structure (PBE, the Alexandria database).

Lattice parameters (Å, degrees): 6.0884 6.0884 10.6760 90.00 90.00 128.92
With the nearest neighbours (Å) after each atom.
Fractional positions:
Tb1 0.1546 0.8454 0.0000  6 Er 3.32-3.62, 3 Tb 3.36-3.40
Tb2 0.8454 0.1546 0.0000  6 Er 3.32-3.62, 3 Tb 3.36-3.40
Ce1 0.3775 0.6225 0.5000  1 Ce 2.69
Ce2 0.6225 0.3775 0.5000  1 Ce 2.69
Er1 0.1523 0.8477 0.3107  3 Ce 3.19-3.33, 1 Tb 3.32, 5 Er 3.35-3.45
Er2 0.1523 0.8477 0.6893  3 Ce 3.19-3.33, 1 Tb 3.32, 5 Er 3.35-3.45
Er3 0.5000 0.5000 0.1715  5 Er 3.45-3.66, 4 Tb 3.62, 2 Ce 3.76
Er4 0.5000 0.5000 0.8285  5 Er 3.45-3.66, 4 Tb 3.62, 2 Ce 3.76
Er5 0.8477 0.1523 0.3107  3 Ce 3.19-3.33, 1 Tb 3.32, 5 Er 3.35-3.45
Er6 0.8477 0.1523 0.6893  3 Ce 3.19-3.33, 1 Tb 3.32, 5 Er 3.35-3.45

Computed properties:
Energy above the lowest structure with this stoichiometry, meV/atom: 14
Theoretical density, g cm⁻³: 8.64
Magnetization, μB/atom: 0.000

***

2.
# Tb5CeEr4

A geometry-optimized Tb5CeEr4 structure (PBE, the Alexandria database).

Lattice parameters (Å, degrees): 8.9822 8.9822 10.8078 106.68 106.68 22.21
With the nearest neighbours (Å) after each atom.
Fractional positions:
Tb1 0.0000 0.0000 0.0000  6 Tb 3.46-3.79, 4 Er 3.70
Tb2 0.2933 0.2933 0.9001  7 Tb 3.35-3.63, 2 Er 3.36-3.42
Tb3 0.3950 0.3950 0.2150  5 Tb 3.35-3.63, 3 Er 3.35-3.53, 2 Ce 3.55
Tb4 0.6050 0.6050 0.7850  5 Tb 3.35-3.63, 3 Er 3.35-3.53, 2 Ce 3.55
Tb5 0.7067 0.7067 0.0999  7 Tb 3.35-3.63, 2 Er 3.36-3.42
Ce1 0.0000 0.0000 0.5000  6 Er 3.31-3.46, 2 Ce 3.46, 4 Tb 3.55
Er1 0.1964 0.1964 0.5822  1 Ce 3.31, 3 Tb 3.36-3.53, 7 Er 3.42-3.54
Er2 0.4062 0.4062 0.6908  4 Tb 3.35-3.70, 5 Er 3.44-3.54, 2 Ce 3.46
Er3 0.5938 0.5938 0.3092  4 Tb 3.35-3.70, 5 Er 3.44-3.54, 2 Ce 3.46
Er4 0.8036 0.8036 0.4178  1 Ce 3.31, 3 Tb 3.36-3.53, 7 Er 3.42-3.54

Computed properties:
Energy above the lowest structure with this stoichiometry, meV/atom: 0
Theoretical density, g cm⁻³: 8.45
Magnetization, μB/atom: 0.046

***

3.
# Tb5CeEr4

A geometry-optimized Tb5CeEr4 structure (PBE, the Alexandria database).

Lattice parameters (Å, degrees): 7.9704 7.9704 7.9704 97.58 97.58 137.40
With the nearest neighbours (Å) after each atom.
Fractional positions:
Tb1 0.0000 0.0000 0.0000  1 Ce 2.72
Tb2 0.5026 0.5026 0.6284  1 Ce 3.04, 1 Tb 3.30, 2 Er 3.30
Tb3 0.5026 0.8742 0.0000  1 Ce 3.04, 1 Tb 3.30, 2 Er 3.30
Tb4 0.8742 0.5026 0.0000  1 Ce 3.04, 1 Tb 3.30, 2 Er 3.30
Tb5 0.8742 0.8742 0.3716  1 Ce 3.04, 1 Tb 3.30, 2 Er 3.30
Ce1 0.4697 0.4697 0.0000  5 Tb 2.72-3.04
Er1 0.1947 0.5237 0.3290  3 Tb 3.30-3.63, 1 Er 3.59
Er2 0.1947 0.8657 0.6710  3 Tb 3.30-3.63, 1 Er 3.59
Er3 0.5237 0.1947 0.3290  3 Tb 3.30-3.63, 1 Er 3.59
Er4 0.8657 0.1947 0.6710  3 Tb 3.30-3.63, 1 Er 3.59

Computed properties:
Energy above the lowest structure with this stoichiometry, meV/atom: 163
Theoretical density, g cm⁻³: 8.34
Magnetization, μB/atom: 0.002

***

4.
# Tb3CeEr

A geometry-optimized Tb3CeEr structure (PBE, the Alexandria database).

Lattice parameters (Å, degrees): 9.3084 7.3323 9.3343 90.00 90.00 90.00
With the nearest neighbours (Å) after each atom.
Fractional positions:
Tb1 0.1275 0.0051 0.1276  3 Ce 3.19-3.38, 4 Tb 3.23-3.38
Tb2 0.1275 0.4949 0.1276  3 Ce 3.19-3.38, 4 Tb 3.23-3.38
Tb3 0.1712 0.2500 0.8261  6 Tb 3.23-3.38
Tb4 0.3288 0.7500 0.3261  6 Tb 3.23-3.38
Tb5 0.3725 0.5051 0.6276  3 Ce 3.19-3.38, 4 Tb 3.23-3.38
Tb6 0.3725 0.9949 0.6276  3 Ce 3.19-3.38, 4 Tb 3.23-3.38
Tb7 0.6275 0.0051 0.3724  3 Ce 3.19-3.38, 4 Tb 3.23-3.38
Tb8 0.6275 0.4949 0.3724  3 Ce 3.19-3.38, 4 Tb 3.23-3.38
Tb9 0.6712 0.2500 0.6739  6 Tb 3.23-3.38
Tb10 0.8288 0.7500 0.1739  6 Tb 3.23-3.38
Tb11 0.8725 0.5051 0.8724  3 Ce 3.19-3.38, 4 Tb 3.23-3.38
Tb12 0.8725 0.9949 0.8724  3 Ce 3.19-3.38, 4 Tb 3.23-3.38
Ce1 0.1739 0.7500 0.8295  6 Tb 3.19-3.38
Ce2 0.3261 0.2500 0.3295  6 Tb 3.19-3.38
Ce3 0.6739 0.7500 0.6705  6 Tb 3.19-3.38
Ce4 0.8261 0.2500 0.1705  6 Tb 3.19-3.38
Er1 0.0000 0.0000 0.5000  2 Er 3.67, 8 Tb 3.67-3.92, 4 Ce 3.89-3.93
Er2 0.0000 0.5000 0.5000  2 Er 3.67, 8 Tb 3.67-3.92, 4 Ce 3.89-3.93
Er3 0.5000 0.0000 0.0000  2 Er 3.67, 8 Tb 3.67-3.92, 4 Ce 3.89-3.93
Er4 0.5000 0.5000 0.0000  2 Er 3.67, 8 Tb 3.67-3.92, 4 Ce 3.89-3.93

Computed properties:
Energy above the lowest structure with this stoichiometry, meV/atom: 0
Theoretical density, g cm⁻³: 8.18
Magnetization, μB/atom: 0.222

***

5.
# Tb2CeEr

A geometry-optimized Tb2CeEr structure (PBE, the Alexandria database).

Lattice parameters (Å, degrees): 4.9878 4.9878 4.9996 90.00 90.00 90.00
With the nearest neighbours (Å) after each atom.
Fractional positions:
Tb1 0.0000 0.5000 0.0000  4 Tb 3.53, 4 Er 3.53, 4 Ce 3.53
Tb2 0.5000 0.0000 0.0000  4 Tb 3.53, 4 Er 3.53, 4 Ce 3.53
Ce1 0.0000 0.0000 0.5000  4 Er 3.53, 8 Tb 3.53
Er1 0.5000 0.5000 0.5000  4 Ce 3.53, 8 Tb 3.53

Computed properties:
Energy above the lowest structure with this stoichiometry, meV/atom: 11
Theoretical density, g cm⁻³: 8.35
Magnetization, μB/atom: 0.123

***

6.
# TbCeEr2

A geometry-optimized TbCeEr2 structure (PBE, the Alexandria database).

Lattice parameters (Å, degrees): 4.9809 4.9809 4.9524 90.00 90.00 90.00
With the nearest neighbours (Å) after each atom.
Fractional positions:
Tb1 0.0000 0.0000 0.0000  8 Er 3.51, 4 Ce 3.52
Ce1 0.5000 0.5000 0.0000  8 Er 3.51, 4 Tb 3.52
Er1 0.0000 0.5000 0.5000  4 Tb 3.51, 4 Ce 3.51, 4 Er 3.52
Er2 0.5000 0.0000 0.5000  4 Tb 3.51, 4 Ce 3.51, 4 Er 3.52

Computed properties:
Energy above the lowest structure with this stoichiometry, meV/atom: 25
Theoretical density, g cm⁻³: 8.56
Magnetization, μB/atom: 0.117

***

7.
# Tb2CeEr3

A geometry-optimized Tb2CeEr3 structure (PBE, the Alexandria database).

Lattice parameters (Å, degrees): 8.8111 8.8111 8.8111 141.73 78.38 114.61
With the nearest neighbours (Å) after each atom.
Fractional positions:
Tb1 0.1465 0.0288 0.1176  2 Tb 3.26-3.62, 4 Er 3.42-3.63, 2 Ce 3.52
Tb2 0.4112 0.0288 0.3824  2 Tb 3.26-3.62, 4 Er 3.42-3.63, 2 Ce 3.52
Tb3 0.5888 0.9712 0.6176  2 Tb 3.26-3.62, 4 Er 3.42-3.63, 2 Ce 3.52
Tb4 0.8535 0.9712 0.8824  2 Tb 3.26-3.62, 4 Er 3.42-3.63, 2 Ce 3.52
Ce1 0.0000 0.0000 0.5000  2 Ce 2.89
Ce2 0.0000 0.5000 0.0000  2 Ce 2.89
Er1 0.1510 0.6668 0.4842  3 Er 3.20-3.29, 1 Tb 3.42
Er2 0.3174 0.3332 0.9842  3 Er 3.20-3.29, 1 Tb 3.42
Er3 0.3901 0.6401 0.7500  4 Er 3.57-3.64, 6 Tb 3.57-3.63, 2 Ce 3.98
Er4 0.6099 0.3599 0.2500  4 Er 3.57-3.64, 6 Tb 3.57-3.63, 2 Ce 3.98
Er5 0.6826 0.6668 0.0158  3 Er 3.20-3.29, 1 Tb 3.42
Er6 0.8490 0.3332 0.5158  3 Er 3.20-3.29, 1 Tb 3.42

Computed properties:
Energy above the lowest structure with this stoichiometry, meV/atom: 0
Theoretical density, g cm⁻³: 8.49
Magnetization, μB/atom: 0.150

***

8.
# Tb3CeEr3

A geometry-optimized Tb3CeEr3 structure (PBE, the Alexandria database).

Lattice parameters (Å, degrees): 14.5995 14.5995 14.5995 24.22 24.22 24.22
With the nearest neighbours (Å) after each atom.
Fractional positions:
Tb1 0.1326 0.4648 0.8002  3 Er 3.48-3.49, 9 Tb 3.53-3.55
Tb2 0.1998 0.8674 0.5352  3 Er 3.48-3.49, 9 Tb 3.53-3.55
Tb3 0.4648 0.8002 0.1326  3 Er 3.48-3.49, 9 Tb 3.53-3.55
Tb4 0.5352 0.1998 0.8674  3 Er 3.48-3.49, 9 Tb 3.53-3.55
Tb5 0.8002 0.1326 0.4648  3 Er 3.48-3.49, 9 Tb 3.53-3.55
Tb6 0.8674 0.5352 0.1998  3 Er 3.48-3.49, 9 Tb 3.53-3.55
Ce1 0.3333 0.3333 0.3333  6 Er 3.47-3.48, 3 Ce 3.54
Ce2 0.6667 0.6667 0.6667  6 Er 3.47-3.48, 3 Ce 3.54
Er1 0.0661 0.7326 0.3998  2 Ce 3.47-3.48, 3 Tb 3.48-3.49, 6 Er 3.54
Er2 0.2674 0.6002 0.9339  2 Ce 3.47-3.48, 3 Tb 3.48-3.49, 6 Er 3.54
Er3 0.3998 0.0661 0.7326  2 Ce 3.47-3.48, 3 Tb 3.48-3.49, 6 Er 3.54
Er4 0.6002 0.9339 0.2674  2 Ce 3.47-3.48, 3 Tb 3.48-3.49, 6 Er 3.54
Er5 0.7326 0.3998 0.0661  2 Ce 3.47-3.48, 3 Tb 3.48-3.49, 6 Er 3.54
Er6 0.9339 0.2674 0.6002  2 Ce 3.47-3.48, 3 Tb 3.48-3.49, 6 Er 3.54

Computed properties:
Theoretical density, g cm⁻³: 8.07
Total energy, eV/atom: -4.60
Magnetization, μB/atom: 0.194